Entry 1:
Crystalline RbPrAs2Pt4 at its relaxed geometry. Source: Alexandria via LeMat-Bulk, functional PBE-GGA.

space group: No. 123
energy relative to the elements: -0.60 eV per atom

a b c (Å): 4.0871 4.0871 11.5536
angles (deg): 90.00 90.00 90.00
Atoms (fractional coordinates):
Rb1 0.0000 0.0000 0.5000
Pr1 0.0000 0.0000 0.0000
As1 0.5000 0.5000 0.3155
As2 0.5000 0.5000 0.6845
Pt1 0.0000 0.5000 0.1957
Pt2 0.5000 0.0000 0.8043
Pt3 0.5000 0.0000 0.1957
Pt4 0.0000 0.5000 0.8043

Entry 2:
Crystalline SmTm2Si4 at its relaxed geometry. Source: Alexandria via LeMat-Bulk, functional PBE-GGA.

space group: No. 71
energy relative to the elements, uncorrected: -0.748 eV per atom

a b c (Å): 3.8650 4.2174 9.1686
angles (deg): 103.30 102.17 90.00
Atoms (fractional coordinates):
Sm1 0.5000 0.0000 0.0000
Tm1 0.8164 0.8164 0.6328
Tm2 0.1836 0.1836 0.3672
Si1 0.6512 0.6512 0.3024
Si2 0.3488 0.3488 0.6976
Si3 0.0674 0.5674 0.1349
Si4 0.9326 0.4326 0.8651

Entry 3:
Crystalline SiSb2Se at its relaxed geometry. Source: Alexandria via LeMat-Bulk, functional PBE-GGA.

space group: No. 122
energy relative to the elements, uncorrected: 0.288 eV per atom
polymorph energy (0 for the lowest one): 207 meV per atom

a b c (Å): 7.0877 7.0877 6.8978
angles (deg): 59.09 59.09 90.00
Atoms (fractional coordinates):
Sb1 0.5976 0.1250 0.2500
Sb2 0.1524 0.6250 0.2500
Sb3 0.3750 0.4024 0.7500
Sb4 0.8750 0.8476 0.7500
Si1 0.5000 0.5000 0.0000
Si2 0.2500 0.7500 0.5000
Se1 0.0000 0.0000 0.0000
Se2 0.7500 0.2500 0.5000

Entry 4:
Crystalline LiPm2Ge4Ir3 at its relaxed geometry. Source: Alexandria via LeMat-Bulk, functional PBE-GGA.

space group: No. 115
energy relative to the elements: -0.73 eV per atom

a b c (Å): 4.3158 4.3158 10.0314
angles (deg): 90.00 90.00 90.00
Atoms (fractional coordinates):
Li1 0.5000 0.5000 0.5000
Pm1 0.5000 0.0000 0.2435
Pm2 0.0000 0.5000 0.7565
Ge1 0.5000 0.5000 0.0000
Ge2 0.0000 0.0000 0.0000
Ge3 0.5000 0.0000 0.6298
Ge4 0.0000 0.5000 0.3702
Ir1 0.0000 0.0000 0.5000
Ir2 0.5000 0.0000 0.8738
Ir3 0.0000 0.5000 0.1262

Entry 5:
Crystalline Sr2CaRe at its relaxed geometry. Source: Alexandria via LeMat-Bulk, functional PBE-GGA.

space group: No. 119
polymorph energy (0 for the lowest one): 141 meV per atom
energy relative to the elements: 0.90 eV per atom

a b c (Å): 5.7796 5.7796 5.7796
angles (deg): 126.61 126.61 78.88
Atoms (fractional coordinates):
Re1 0.7500 0.2500 0.5000
Ca1 0.5000 0.5000 0.0000
Sr1 0.0000 0.0000 0.0000
Sr2 0.2500 0.7500 0.5000

Entry 6:
Crystalline NaTiAlV2 at its relaxed geometry. Source: Alexandria via LeMat-Bulk, functional PBE-GGA.

space group: No. 123
energy relative to the elements: 1.82 eV per atom

a b c (Å): 4.4510 4.5972 4.4510
angles (deg): 90.00 90.00 90.00
Atoms (fractional coordinates):
Na1 0.0000 0.0000 0.0000
Ti1 0.0000 0.5000 0.0000
Al1 0.5000 0.5000 0.5000
V1 0.0000 0.0000 0.5000
V2 0.5000 0.0000 0.0000

Entry 7:
Crystalline La2CePm3N6 at its relaxed geometry. Source: Alexandria via LeMat-Bulk, functional PBE-GGA.

space group: No. 12
energy relative to the elements, uncorrected: -1.414 eV per atom

a b c (Å): 3.6481 7.3108 8.1505
angles (deg): 102.85 102.93 90.00
Atoms (fractional coordinates):
La1 0.8338 0.6671 0.6677
La2 0.1662 0.3329 0.3323
Ce1 0.5000 0.0000 0.0000
Pm1 0.5000 0.5000 0.0000
Pm2 0.8358 0.1676 0.6716
Pm3 0.1642 0.8324 0.3284
N1 0.3420 0.9271 0.6840
N2 0.6636 0.5878 0.3271
N3 0.6580 0.0729 0.3160
N4 0.9977 0.2384 0.9955
N5 0.0023 0.7616 0.0045
N6 0.3364 0.4122 0.6729

Entry 8:
Crystalline K3TbU2O9 at its relaxed geometry. Source: Alexandria via LeMat-Bulk, functional PBE-GGA.

space group: No. 164
energy relative to the elements, uncorrected: -2.899 eV per atom

a b c (Å): 6.1212 6.1212 7.4948
angles (deg): 90.00 90.00 120.00
Atoms (fractional coordinates):
K1 0.3333 0.6667 0.6610
K2 0.0000 0.0000 0.0000
K3 0.6667 0.3333 0.3390
Tb1 0.0000 0.0000 0.5000
U1 0.3333 0.6667 0.1671
U2 0.6667 0.3333 0.8329
O1 0.8250 0.1750 0.6780
O2 0.8250 0.6501 0.6780
O3 0.3499 0.1750 0.6780
O4 0.6501 0.8250 0.3220
O5 0.1750 0.3499 0.3220
O6 0.1750 0.8250 0.3220
O7 0.5000 0.0000 0.0000
O8 0.0000 0.5000 0.0000
O9 0.5000 0.5000 0.0000

| no. | uncorrected energy (eV/atom) |
| --- | --- |
| 1 | -5.51 |
| 2 | -5.80 |
| 3 | -4.00 |
| 4 | -6.37 |
| 5 | -3.56 |
| 6 | -4.42 |
| 7 | -8.08 |
| 8 | -7.91 |